No. 1
NbIn2Tc: relaxed, GGA-PBE.

Results
The value obtained for the formation energy is 0.34 eV per atom. As for the crystal system: cubic.

The structure in CIF format:
```
data_NbIn2Tc
_cell_length_a 6.655
_cell_length_b 6.655
_cell_length_c 6.655
_cell_angle_alpha 90.00
_cell_angle_beta 90.00
_cell_angle_gamma 90.00
_symmetry_space_group_name_H-M 'F m -3 m'
_symmetry_Int_Tables_number 225
_symmetry_space_group_name_Hall '-F 4 2 3'
loop_
_atom_site_label
_atom_site_type_symbol
_atom_site_fract_x
_atom_site_fract_y
_atom_site_fract_z
Nb1 Nb 0.000 0.000 0.000
In1 In 0.250 0.250 0.250
Tc1 Tc 0.000 0.000 0.500
```

***

No. 2
Nb3InTc: relaxed, GGA-PBE.

Results
As for the distance to the lowest polymorph of the same formula: 0 meV/atom. The value obtained for the formation energy is 0.85 eV per atom. As for the crystal system: cubic.

The structure in CIF format:
```
data_Nb3InTc
_cell_length_a 4.829
_cell_length_b 4.829
_cell_length_c 4.829
_cell_angle_alpha 90.00
_cell_angle_beta 90.00
_cell_angle_gamma 90.00
_symmetry_space_group_name_H-M 'P m -3 m'
_symmetry_Int_Tables_number 221
_symmetry_space_group_name_Hall '-P 4 2 3'
loop_
_atom_site_label
_atom_site_type_symbol
_atom_site_fract_x
_atom_site_fract_y
_atom_site_fract_z
Nb1 Nb 0.000 0.000 0.500
In1 In 0.500 0.500 0.500
Tc1 Tc 0.000 0.000 0.000
```

***

No. 3
NbInTc3: relaxed, GGA-PBE.

Results
As for the distance to the lowest polymorph of the same formula: 708 meV/atom. The value obtained for the formation energy is 2.25 eV per atom. As for the crystal system: cubic.

The structure in CIF format:
```
data_NbInTc3
_cell_length_a 4.737
_cell_length_b 4.737
_cell_length_c 4.737
_cell_angle_alpha 90.00
_cell_angle_beta 90.00
_cell_angle_gamma 90.00
_symmetry_space_group_name_H-M 'P m -3 m'
_symmetry_Int_Tables_number 221
_symmetry_space_group_name_Hall '-P 4 2 3'
loop_
_atom_site_label
_atom_site_type_symbol
_atom_site_fract_x
_atom_site_fract_y
_atom_site_fract_z
Nb1 Nb 0.000 0.000 0.000
In1 In 0.500 0.500 0.500
Tc1 Tc 0.000 0.500 0.500
```

***

No. 4
NbInTc3: relaxed, GGA-PBE.

Results
As for the distance to the lowest polymorph of the same formula: 0 meV/atom. The value obtained for the formation energy is 1.54 eV per atom. As for the crystal system: cubic.

The structure in CIF format:
```
data_NbInTc3
_cell_length_a 4.756
_cell_length_b 4.756
_cell_length_c 4.756
_cell_angle_alpha 90.00
_cell_angle_beta 90.00
_cell_angle_gamma 90.00
_symmetry_space_group_name_H-M 'P m -3 m'
_symmetry_Int_Tables_number 221
_symmetry_space_group_name_Hall '-P 4 2 3'
loop_
_atom_site_label
_atom_site_type_symbol
_atom_site_fract_x
_atom_site_fract_y
_atom_site_fract_z
Nb1 Nb 0.000 0.000 0.000
In1 In 0.500 0.500 0.500
Tc1 Tc 0.000 0.000 0.500
```

***

No. 5
Nb2InTc2: relaxed, GGA-PBE.

Results
As for the distance to the lowest polymorph of the same formula: 129 meV/atom. The value obtained for the formation energy is 0.25 eV per atom. As for the crystal system: tetragonal.

The structure in CIF format:
```
data_Nb2InTc2
_cell_length_a 7.743
_cell_length_b 7.743
_cell_length_c 3.034
_cell_angle_alpha 90.00
_cell_angle_beta 90.00
_cell_angle_gamma 90.00
_symmetry_space_group_name_H-M 'P 4/m b m'
_symmetry_Int_Tables_number 127
_symmetry_space_group_name_Hall '-P 4 2ab'
loop_
_atom_site_label
_atom_site_type_symbol
_atom_site_fract_x
_atom_site_fract_y
_atom_site_fract_z
Nb1 Nb 0.142 0.358 0.000
In1 In 0.000 0.000 0.000
Tc1 Tc 0.155 0.655 0.500
```

***

No. 6
NbZn2InTc: relaxed, GGA-PBE.

Results
The value obtained for the formation energy is 1.08 eV per atom. As for the crystal system: tetragonal.

The structure in CIF format:
```
data_NbZn2InTc
_cell_length_a 5.125
_cell_length_b 5.125
_cell_length_c 4.688
_cell_angle_alpha 90.00
_cell_angle_beta 90.00
_cell_angle_gamma 90.00
_symmetry_space_group_name_H-M 'P 4/m m m'
_symmetry_Int_Tables_number 123
_symmetry_space_group_name_Hall '-P 4 2'
loop_
_atom_site_label
_atom_site_type_symbol
_atom_site_fract_x
_atom_site_fract_y
_atom_site_fract_z
Nb1 Nb 0.000 0.000 0.000
Zn1 Zn 0.000 0.500 0.000
In1 In 0.500 0.500 0.500
Tc1 Tc 0.000 0.000 0.500
```

***

No. 7
NbIn3Te: relaxed, GGA-PBE.

Results
As for the distance to the lowest polymorph of the same formula: 623 meV/atom. For the uncorrected formation energy, the calculation gives 1.280 eV per atom. As for the crystal system: cubic.

The structure in CIF format:
```
data_NbIn3Te
_cell_length_a 5.712
_cell_length_b 5.712
_cell_length_c 5.712
_cell_angle_alpha 90.00
_cell_angle_beta 90.00
_cell_angle_gamma 90.00
_symmetry_space_group_name_H-M 'P m -3 m'
_symmetry_Int_Tables_number 221
_symmetry_space_group_name_Hall '-P 4 2 3'
loop_
_atom_site_label
_atom_site_type_symbol
_atom_site_fract_x
_atom_site_fract_y
_atom_site_fract_z
Nb1 Nb 0.000 0.000 0.000
In1 In 0.000 0.500 0.500
Te1 Te 0.500 0.500 0.500
```

***

No. 8
NbInTe4: relaxed, GGA-PBE.

Results
For the uncorrected formation energy, the calculation gives -0.155 eV per atom. As for the crystal system: monoclinic.

The structure in CIF format:
```
data_NbInTe4
_cell_length_a 9.174
_cell_length_b 13.833
_cell_length_c 5.445
_cell_angle_alpha 90.00
_cell_angle_beta 97.21
_cell_angle_gamma 90.00
_symmetry_space_group_name_H-M 'C 1 2/m 1'
_symmetry_Int_Tables_number 12
_symmetry_space_group_name_Hall '-C 2y'
loop_
_atom_site_label
_atom_site_type_symbol
_atom_site_fract_x
_atom_site_fract_y
_atom_site_fract_z
Nb1 Nb 0.000 0.180 0.000
In1 In 0.135 0.500 0.403
Te1 Te 0.000 0.248 0.500
Te2 Te 0.072 0.000 0.282
Te3 Te 0.189 0.359 0.015
```

***

No. 9
NbInTe2: relaxed, GGA-PBE.

Results
For the uncorrected formation energy, the calculation gives -0.230 eV per atom. As for the crystal system: tetragonal.

The structure in CIF format:
```
data_NbInTe2
_cell_length_a 3.478
_cell_length_b 3.478
_cell_length_c 8.389
_cell_angle_alpha 90.00
_cell_angle_beta 90.00
_cell_angle_gamma 90.00
_symmetry_space_group_name_H-M 'P 4/m m m'
_symmetry_Int_Tables_number 123
_symmetry_space_group_name_Hall '-P 4 2'
loop_
_atom_site_label
_atom_site_type_symbol
_atom_site_fract_x
_atom_site_fract_y
_atom_site_fract_z
Nb1 Nb 0.000 0.000 0.000
In1 In 0.000 0.000 0.500
Te1 Te 0.500 0.500 0.197
```

***

No. 10
NbIn3Te: relaxed, GGA-PBE.

Results
As for the distance to the lowest polymorph of the same formula: 0 meV/atom. For the uncorrected formation energy, the calculation gives 0.657 eV per atom. As for the crystal system: cubic.

The structure in CIF format:
```
data_NbIn3Te
_cell_length_a 5.519
_cell_length_b 5.519
_cell_length_c 5.519
_cell_angle_alpha 90.00
_cell_angle_beta 90.00
_cell_angle_gamma 90.00
_symmetry_space_group_name_H-M 'P m -3 m'
_symmetry_Int_Tables_number 221
_symmetry_space_group_name_Hall '-P 4 2 3'
loop_
_atom_site_label
_atom_site_type_symbol
_atom_site_fract_x
_atom_site_fract_y
_atom_site_fract_z
Nb1 Nb 0.000 0.000 0.000
In1 In 0.000 0.000 0.500
Te1 Te 0.500 0.500 0.500
```

***

No. 11
NbInTe3: relaxed, GGA-PBE.

Results
As for the distance to the lowest polymorph of the same formula: 212 meV/atom. For the uncorrected formation energy, the calculation gives -0.016 eV per atom. As for the crystal system: cubic.

The structure in CIF format:
```
data_NbInTe3
_cell_length_a 5.487
_cell_length_b 5.487
_cell_length_c 5.487
_cell_angle_alpha 90.00
_cell_angle_beta 90.00
_cell_angle_gamma 90.00
_symmetry_space_group_name_H-M 'P m -3 m'
_symmetry_Int_Tables_number 221
_symmetry_space_group_name_Hall '-P 4 2 3'
loop_
_atom_site_label
_atom_site_type_symbol
_atom_site_fract_x
_atom_site_fract_y
_atom_site_fract_z
Nb1 Nb 0.000 0.000 0.000
In1 In 0.500 0.500 0.500
Te1 Te 0.000 0.000 0.500
```

***

No. 12
NbInTe2: relaxed, GGA-PBE.

Results
For the uncorrected formation energy, the calculation gives -0.275 eV per atom. As for the crystal system: triclinic.

The structure in CIF format:
```
data_NbInTe2
_cell_length_a 3.618
_cell_length_b 6.311
_cell_length_c 10.187
_cell_angle_alpha 87.20
_cell_angle_beta 89.97
_cell_angle_gamma 90.00
_symmetry_space_group_name_H-M 'P 1'
_symmetry_Int_Tables_number 1
_symmetry_space_group_name_Hall 'P 1'
loop_
_atom_site_label
_atom_site_type_symbol
_atom_site_fract_x
_atom_site_fract_y
_atom_site_fract_z
Nb1 Nb 0.000 0.000 0.000
Nb2 Nb 0.493 0.500 0.000
In1 In 0.242 0.746 0.500
In2 In 0.243 0.246 0.500
Te1 Te 0.497 0.182 0.816
Te2 Te 0.497 0.818 0.184
Te3 Te 0.996 0.318 0.184
Te4 Te 0.997 0.682 0.816
```